Record 1
Below is a crystal of ZrNiIr relaxed with PBEsol, with properties calculated at the SCAN level.

* calculated formation energy: -0.37 eV/atom
* space group: F-43m (216)
* E_tot: -1.45855 Ha/atom
* DOS at the Fermi energy: 0.629 states/eV/atom

Structure (extended XYZ):
```
3
Lattice="0.0000 2.9200 2.9200 2.9200 0.0000 2.9200 2.9200 2.9200 0.0000" Properties=species:S:1:pos:R:3 pbc="T T T"
Zr 0.0000 0.0000 0.0000
Ni 1.4600 1.4600 1.4600
Ir 2.9200 2.9200 2.9200
```

***

Record 2
Below is a crystal of Rb2NaAu relaxed with PBEsol, with properties calculated at the SCAN level.

* calculated formation energy: -0.09 eV/atom
* space group: Fm-3m (225)
* E_tot: -1.05848 Ha/atom
* offset from the most stable computed form: 25 kJ/mol of formula units
* DOS at the Fermi energy: 0.143 states/eV/atom

Structure (extended XYZ):
```
4
Lattice="0.0000 4.2514 4.2514 4.2514 0.0000 4.2514 4.2514 4.2514 0.0000" Properties=species:S:1:pos:R:3 pbc="T T T"
Rb 2.1257 2.1257 2.1257
Rb 6.3771 6.3771 6.3771
Na 0.0000 0.0000 0.0000
Au 4.2514 4.2514 4.2514
```

***

Record 3
Below is a crystal of Ca3RuI relaxed with PBEsol, with properties calculated at the SCAN level.

* space group: Pm-3m (221)
* E_tot: -0.74519 Ha/atom
* offset from the most stable computed form: 0 kJ/mol of formula units
* DOS at the Fermi energy: 0.639 states/eV/atom
* energy relative to the elements, uncorrected: -0.166 eV/atom

Structure (extended XYZ):
```
5
Lattice="5.4095 0.0000 0.0000 0.0000 5.4095 0.0000 0.0000 0.0000 5.4095" Properties=species:S:1:pos:R:3 pbc="T T T"
Ca 0.0000 0.0000 2.7047
Ca 0.0000 2.7047 0.0000
Ca 2.7047 0.0000 0.0000
Ru 0.0000 0.0000 0.0000
I 2.7047 2.7047 2.7047
```

***

Record 4
Below is a crystal of ReNi2MoO relaxed with PBEsol, with properties calculated at the SCAN level.

* space group: P4/mmm (123)
* E_tot: -0.97820 Ha/atom
* DOS at the Fermi energy: 0.783 states/eV/atom
* energy relative to the elements, uncorrected: 2.294 eV/atom

Structure (extended XYZ):
```
5
Lattice="4.3516 0.0000 0.0000 0.0000 4.3516 0.0000 0.0000 0.0000 4.6158" Properties=species:S:1:pos:R:3 pbc="T T T"
Re 0.0000 0.0000 0.0000
Ni 0.0000 2.1758 2.3079
Ni 2.1758 0.0000 2.3079
Mo 0.0000 0.0000 2.3079
O 2.1758 2.1758 0.0000
```

***

Record 5
Below is a crystal of Au2S relaxed with PBEsol, with properties calculated at the SCAN level.

* space group: Pn-3m (224)
* E_tot: -1.81681 Ha/atom
* DOS at the Fermi energy: 0.000 states/eV/atom
* energy relative to the elements, uncorrected: -0.124 eV/atom

Structure (extended XYZ):
```
6
Lattice="5.2247 0.0000 0.0000 0.0000 5.2247 0.0000 0.0000 0.0000 5.2247" Properties=species:S:1:pos:R:3 pbc="T T T"
Au 0.0000 0.0000 0.0000
Au 0.0000 2.6123 2.6123
Au 2.6123 0.0000 2.6123
Au 2.6123 2.6123 0.0000
S 1.3062 1.3062 1.3062
S 3.9185 3.9185 3.9185
```

***

Record 6
Below is a crystal of Er2Co12P7 relaxed with PBEsol, with properties calculated at the SCAN level.

* calculated formation energy: -0.75 eV/atom
* space group: P-6 (174)
* E_tot: -0.69465 Ha/atom
* DOS at the Fermi energy: 0.305 states/eV/atom

Structure (extended XYZ):
```
21
Lattice="8.8800 0.0000 0.0000 -4.4400 7.6903 0.0000 0.0000 0.0000 3.5200" Properties=species:S:1:pos:R:3 pbc="T T T"
Er 0.0000 0.0000 0.0000
Er 0.0000 5.1269 1.7600
Co -0.8087 2.1530 1.7600
Co -2.2408 5.4483 0.0000
Co -2.1712 7.3142 1.7600
Co 0.8420 3.0256 0.0000
Co 2.6934 1.3816 0.0000
Co 2.8122 3.3591 1.7600
Co 4.5649 0.7559 1.7600
Co 1.3987 6.9067 0.0000
Co 2.9798 5.9135 1.7600
Co 4.2898 4.6670 0.0000
Co 6.3369 1.6418 0.0000
Co 5.9430 3.5754 1.7600
P -1.3382 3.4376 0.0000
P 1.3556 1.7048 1.7600
P -0.7939 7.1304 0.0000
P 2.1320 4.8126 0.0000
P 4.4400 2.5634 0.0000
P 6.7258 0.3215 1.7600
P 5.2387 5.6639 1.7600
```

***

Record 7
Below is a crystal of Ti3IrPd relaxed with PBEsol, with properties calculated at the SCAN level.

* calculated formation energy: 0.22 eV/atom
* space group: Pm-3m (221)
* E_tot: -1.10879 Ha/atom
* DOS at the Fermi energy: 1.553 states/eV/atom

Structure (extended XYZ):
```
5
Lattice="4.6449 0.0000 0.0000 0.0000 4.6449 0.0000 0.0000 0.0000 4.6449" Properties=species:S:1:pos:R:3 pbc="T T T"
Ti 0.0000 0.0000 2.3224
Ti 0.0000 2.3224 0.0000
Ti 2.3224 0.0000 0.0000
Ir 0.0000 0.0000 0.0000
Pd 2.3224 2.3224 2.3224
```

***

Record 8
Below is a crystal of Tl relaxed with PBEsol, with properties calculated at the SCAN level.

* calculated formation energy: 0.02 eV/atom
* space group: Fm-3m (225)
* E_tot: -2.65842 Ha/atom
* offset from the most stable computed form: 2 kJ/mol of formula units
* DOS at the Fermi energy: 0.577 states/eV/atom

Structure (extended XYZ):
```
1
Lattice="0.0000 2.4104 2.4104 2.4104 0.0000 2.4104 2.4104 2.4104 0.0000" Properties=species:S:1:pos:R:3 pbc="T T T"
Tl 0.0000 0.0000 0.0000
```

***

Record 9
Below is a crystal of ZrOs2Ru relaxed with PBEsol, with properties calculated at the SCAN level.

* calculated formation energy: 0.22 eV/atom
* space group: R-3m (166)
* E_tot: -1.91471 Ha/atom
* offset from the most stable computed form: 93 kJ/mol of formula units
* DOS at the Fermi energy: 1.049 states/eV/atom

Structure (extended XYZ):
```
4
Lattice="1.3704 0.7912 9.3408 -1.3704 0.7912 9.3408 0.0000 -1.5824 9.3408" Properties=species:S:1:pos:R:3 pbc="T T T"
Zr 0.0000 0.0000 0.0000
Os 0.0000 0.0000 6.8074
Os 0.0000 0.0000 21.2151
Ru 0.0000 0.0000 14.0112
```

***

Record 10
Below is a crystal of CaLaIn2 relaxed with PBEsol, with properties calculated at the SCAN level.

* calculated formation energy: -0.23 eV/atom
* space group: F-43m (216)
* E_tot: -1.10676 Ha/atom
* DOS at the Fermi energy: 0.931 states/eV/atom

Structure (extended XYZ):
```
4
Lattice="0.0000 3.8277 3.8277 3.8277 0.0000 3.8277 3.8277 3.8277 0.0000" Properties=species:S:1:pos:R:3 pbc="T T T"
Ca 0.0000 0.0000 0.0000
La 5.7416 5.7416 5.7416
In 1.9139 1.9139 1.9139
In 3.8277 3.8277 3.8277
```

***

Record 11
Below is a crystal of LiPbSN2 relaxed with PBEsol, with properties calculated at the SCAN level.

* space group: P4/mmm (123)
* E_tot: -0.73930 Ha/atom
* DOS at the Fermi energy: 0.100 states/eV/atom
* energy relative to the elements, uncorrected: 1.159 eV/atom

Structure (extended XYZ):
```
5
Lattice="4.3666 0.0000 0.0000 0.0000 4.3666 0.0000 0.0000 0.0000 5.3177" Properties=species:S:1:pos:R:3 pbc="T T T"
Li 0.0000 0.0000 0.0000
Pb 2.1833 2.1833 2.6589
S 2.1833 2.1833 0.0000
N 0.0000 2.1833 2.6589
N 2.1833 0.0000 2.6589
```

***

Record 12
Below is a crystal of CaZrCo2 relaxed with PBEsol, with properties calculated at the SCAN level.

* calculated formation energy: 0.49 eV/atom
* space group: I-4m2 (119)
* E_tot: -0.67086 Ha/atom
* DOS at the Fermi energy: 0.843 states/eV/atom

Structure (extended XYZ):
```
4
Lattice="-1.8550 1.8550 4.7179 1.8550 -1.8550 4.7179 1.8550 1.8550 -4.7179" Properties=species:S:1:pos:R:3 pbc="T T T"
Ca 0.0000 0.0000 0.0000
Zr 1.8550 0.0000 2.3590
Co 0.0000 0.0000 4.7179
Co 0.0000 1.8550 2.3590
```